A geometry-optimized YP2S6 structure. Source: Alexandria via LeMat-Bulk, functional PBE.

E_form (uncorrected), eV per atom: -0.620
Magnetic moment, μB per cell: 0.66
Space group: No. 146

```
data_YP2S6
_cell_length_a 8.203
_cell_length_b 8.203
_cell_length_c 8.203
_cell_angle_alpha 45.82
_cell_angle_beta 45.82
_cell_angle_gamma 45.82
_symmetry_space_group_name_H-M 'P 1'
_symmetry_Int_Tables_number 1
loop_
_symmetry_equiv_pos_as_xyz
'x,y,z'
loop_
_atom_site_label
_atom_site_fract_x
_atom_site_fract_y
_atom_site_fract_z
Y1 0.000 0.000 0.000
P1 0.281 0.281 0.281
P2 0.385 0.385 0.385
S1 0.118 0.394 0.724
S2 0.235 0.961 0.567
S3 0.394 0.724 0.118
S4 0.567 0.235 0.961
S5 0.724 0.118 0.394
S6 0.961 0.567 0.235
```

***

A geometry-optimized La3PPbO structure. Source: Alexandria via LeMat-Bulk, functional PBE.

E_form (uncorrected), eV per atom: -1.701
Magnetic moment, μB per cell: 0.00
Space group: No. 11

```
data_La3PPbO
_cell_length_a 9.267
_cell_length_b 4.256
_cell_length_c 9.499
_cell_angle_alpha 90.00
_cell_angle_beta 103.89
_cell_angle_gamma 90.00
_symmetry_space_group_name_H-M 'P 1'
_symmetry_Int_Tables_number 1
loop_
_symmetry_equiv_pos_as_xyz
'x,y,z'
loop_
_atom_site_label
_atom_site_fract_x
_atom_site_fract_y
_atom_site_fract_z
La1 0.064 0.250 0.337
La2 0.333 0.250 0.975
La3 0.385 0.750 0.648
La4 0.615 0.250 0.352
La5 0.667 0.750 0.025
La6 0.936 0.750 0.663
P1 0.158 0.250 0.655
P2 0.842 0.750 0.345
Pb1 0.314 0.750 0.268
Pb2 0.686 0.250 0.732
O1 0.414 0.750 0.904
O2 0.586 0.250 0.096
```

***

| no. | energy (eV per formula unit) |
| --- | --- |
| 1 | -47.63 |
| 2 | -39.06 |